Below is a PBEsol-optimized structure of Fe2TeBr, with properties calculated at the SCAN level.

Summary:
Theoretical density, g cm⁻³: 6.6
Relative energy among the computed polymorphs, meV/atom: 83
Raw formation energy, meV per atom: 513
Crystal system: orthorhombic

Unit cell a=3.1533 b=4.0104 c=6.3780 alpha=90.00 beta=90.00 gamma=90.00
With the nearest neighbours (Å) after each atom.
Element x y z (fractional)
Fe: 0.0000 0.0000 0.0000  4 Br 2.55
Fe: 0.5000 0.0000 0.5000  4 Te 2.55
Te: 0.0000 0.5000 0.5000  4 Fe 2.55
Br: 0.5000 0.5000 0.0000  4 Fe 2.55

***

Below is a PBEsol-optimized structure of FeTe2Br, with properties calculated at the SCAN level.

Summary:
Theoretical density, g cm⁻³: 7.2
Relative energy among the computed polymorphs, meV/atom: 508
Raw formation energy, meV per atom: 577
Crystal system: cubic

Unit cell a=5.0305 b=5.0305 c=5.0305 alpha=60.00 beta=60.00 gamma=60.00
With the nearest neighbours (Å) after each atom.
Element x y z (fractional)
Fe: 0.0000 0.0000 0.0000  4 Br 3.08, 4 Te 3.08
Te: 0.5000 0.5000 0.5000  4 Br 3.08, 4 Te 3.08
Te: 0.7500 0.7500 0.7500  4 Fe 3.08, 4 Te 3.08
Br: 0.2500 0.2500 0.2500  4 Fe 3.08, 4 Te 3.08

***

Below is a PBEsol-optimized structure of Fe2TeBr, with properties calculated at the SCAN level.

Summary:
Theoretical density, g cm⁻³: 7.1
Relative energy among the computed polymorphs, meV/atom: 0
Raw formation energy, meV per atom: 430
Crystal system: tetragonal

Unit cell a=3.3507 b=3.3507 c=6.6470 alpha=90.00 beta=90.00 gamma=90.00
With the nearest neighbours (Å) after each atom.
Element x y z (fractional)
Fe: 0.0000 0.0000 0.1869  1 Fe 2.48, 4 Te 2.68
Fe: 0.0000 0.0000 0.8131  1 Fe 2.48, 4 Te 2.68
Te: 0.5000 0.5000 0.0000  8 Fe 2.68
Br: 0.5000 0.5000 0.5000  8 Fe 3.15, 2 Te 3.32, 4 Br 3.35

***

Below is a PBEsol-optimized structure of FeTe2Br, with properties calculated at the SCAN level.

Summary:
Theoretical density, g cm⁻³: 6.9
Relative energy among the computed polymorphs, meV/atom: 0
Raw formation energy, meV per atom: 69
Crystal system: trigonal

Unit cell a=9.1626 b=9.1626 c=9.1626 alpha=21.92 beta=21.92 gamma=21.92
With the nearest neighbours (Å) after each atom.
Element x y z (fractional)
Fe: 0.0000 0.0000 0.0000  3 Br 2.49, 3 Te 2.54
Te: 0.2757 0.2757 0.2757  3 Fe 2.54
Te: 0.5075 0.5075 0.5075  9 Te 3.39-3.48, 3 Br 3.79
Br: 0.7213 0.7213 0.7213  3 Fe 2.49

***

Below is a PBEsol-optimized structure of Th6FeBr15, with properties calculated at the SCAN level.

Summary:
Theoretical density, g cm⁻³: 5.8
Raw formation energy, meV per atom: -1672
Crystal system: cubic

Unit cell a=9.9249 b=9.9249 c=9.9249 alpha=109.47 beta=109.47 gamma=109.47
With the nearest neighbours (Å) after each atom.
Element x y z (fractional)
Th: 0.0000 0.2390 0.2390  1 Fe 2.74, 5 Br 2.90-2.99
Th: 0.0000 0.7610 0.7610  1 Fe 2.74, 5 Br 2.90-2.99
Th: 0.2390 0.0000 0.2390  1 Fe 2.74, 5 Br 2.90-2.99
Th: 0.2390 0.2390 0.0000  1 Fe 2.74, 5 Br 2.90-2.99
Th: 0.7610 0.0000 0.7610  1 Fe 2.74, 5 Br 2.90-2.99
Th: 0.7610 0.7610 0.0000  1 Fe 2.74, 5 Br 2.90-2.99
Fe: 0.0000 0.0000 0.0000  6 Th 2.74
Br: 0.0000 0.2530 0.7470  2 Th 2.90
Br: 0.0000 0.5000 0.5000  2 Th 2.99
Br: 0.0000 0.7470 0.2530  2 Th 2.90
Br: 0.2530 0.0000 0.7470  2 Th 2.90
Br: 0.2530 0.2530 0.5060  2 Th 2.90
Br: 0.2530 0.5060 0.2530  2 Th 2.90
Br: 0.2530 0.7470 0.0000  2 Th 2.90
Br: 0.4940 0.7470 0.7470  2 Th 2.90
Br: 0.5000 0.0000 0.5000  2 Th 2.99
Br: 0.5000 0.5000 0.0000  2 Th 2.99
Br: 0.5060 0.2530 0.2530  2 Th 2.90
Br: 0.7470 0.0000 0.2530  2 Th 2.90
Br: 0.7470 0.2530 0.0000  2 Th 2.90
Br: 0.7470 0.4940 0.7470  2 Th 2.90
Br: 0.7470 0.7470 0.4940  2 Th 2.90

***

Below is a PBEsol-optimized structure of TlFe2Br, with properties calculated at the SCAN level.

Summary:
Theoretical density, g cm⁻³: 9.5
Relative energy among the computed polymorphs, meV/atom: 289
Raw formation energy, meV per atom: 508
Crystal system: trigonal

Unit cell a=8.2314 b=8.2314 c=8.2314 alpha=22.09 beta=22.09 gamma=22.09
With the nearest neighbours (Å) after each atom.
Element x y z (fractional)
Tl: 0.0000 0.0000 0.0000  6 Fe 2.80
Fe: 0.2449 0.2449 0.2449  3 Br 2.62, 3 Tl 2.80
Fe: 0.7551 0.7551 0.7551  3 Br 2.62, 3 Tl 2.80
Br: 0.5000 0.5000 0.5000  6 Fe 2.62